Entry from the Alexandria database: a relaxed La6SmHg5 crystal (PBE).

Structure (POSCAR):
```
La6SmHg5
1.0
5.411 0.002 -1.131
-0.003 7.829 -0.001
-0.983 0.000 8.860
Hg Sm La
5 1 6
Cartesian
3.273 3.916 2.206
1.210 0.001 5.803
-0.002 3.915 0.000
3.215 7.831 1.926
1.152 3.916 5.523
0.000 0.000 0.000
3.830 5.892 4.840
3.832 1.942 4.840
2.705 2.137 -0.566
2.703 5.694 -0.566
0.594 5.890 2.888
0.596 1.940 2.889
```

Computed properties:
* energy: -3.36 eV per atom
* space group: No. 10
* calculated formation energy: -0.37 eV/atom

---

Entry from the Alexandria database: a relaxed La5SmHg6 crystal (PBE).

Structure (POSCAR):
```
La5SmHg6
1.0
-1.980 -1.088 -4.991
-5.603 -4.448 3.192
-5.920 6.039 -1.975
Hg Sm La
6 1 5
Cartesian
-7.814 -2.294 -2.413
-4.966 -0.033 -4.036
-2.353 -1.626 -1.719
-5.230 -3.910 -0.080
-8.537 0.536 0.263
-5.688 2.798 -1.360
0.000 0.000 0.000
-8.047 1.050 -3.050
-2.635 1.652 -2.322
-2.802 -2.224 1.596
-5.265 3.299 -4.644
-5.455 -0.547 -0.724
```

Computed properties:
* energy: -3.09 eV per atom
* space group: No. 65
* calculated formation energy: -0.49 eV/atom

---

Entry from the Alexandria database: a relaxed La5Sm4Hg crystal (PBE).

Structure (POSCAR):
```
La5Sm4Hg
1.0
-0.287 1.038 -3.593
0.874 -3.485 -1.077
-23.739 -6.003 0.162
La Sm Hg
5 4 1
Cartesian
-1.724 -1.733 -2.321
-6.663 -2.983 -2.288
-11.576 -4.225 -2.254
-16.489 -5.467 -2.221
-21.428 -6.716 -2.187
-4.515 -1.142 0.031
-9.420 -2.382 0.064
-14.319 -3.621 0.097
-19.224 -4.861 0.131
0.000 0.000 0.000
```

Computed properties:
* energy: -4.46 eV per atom
* space group: No. 123
* calculated formation energy: -0.08 eV/atom

---

Entry from the Alexandria database: a relaxed LaSm2Sn2Hg2 crystal (PBE).

Structure (POSCAR):
```
LaSm2Sn2Hg2
1.0
-3.063 -3.871 0.989
0.676 -4.406 -2.340
4.849 -5.494 6.329
La Sm Sn Hg
1 2 2 2
Cartesian
0.000 0.000 0.000
2.619 -4.413 3.651
-0.158 -9.356 1.327
2.149 -10.474 4.097
0.313 -3.296 0.881
0.049 -6.312 1.070
2.412 -7.457 3.908
```

Computed properties:
* energy: -3.68 eV per atom
* space group: No. 166
* calculated formation energy: -0.39 eV/atom